#1
The following is a DFT calculation (PBE) of a relaxed structure of CoGe2Os.

abc: 5.6703 7.0135 5.7174
angles: 90.00 90.00 90.00
Fractional positions:
Co 0.0000 0.0472 0.2500
Co 0.0000 0.9528 0.7500
Co 0.5000 0.4528 0.7500
Co 0.5000 0.5472 0.2500
Ge 0.1630 0.2451 0.5853
Ge 0.1630 0.7549 0.4147
Ge 0.3370 0.2549 0.0853
Ge 0.3370 0.7451 0.9147
Ge 0.6630 0.2549 0.4147
Ge 0.6630 0.7451 0.5853
Ge 0.8370 0.2451 0.9147
Ge 0.8370 0.7549 0.0853
Os 0.0000 0.4402 0.2500
Os 0.0000 0.5598 0.7500
Os 0.5000 0.0598 0.7500
Os 0.5000 0.9402 0.2500

The space group is C222_1, No. 20. The value obtained for the magnetic moment is 0.662 μB per formula unit.

***

#2
The following is a DFT calculation (PBE) of a relaxed structure of CoGe2Os.

abc: 5.4273 5.4273 10.7506
angles: 90.00 90.00 90.00
Fractional positions:
Co 0.0000 0.0000 0.0000
Co 0.0000 0.5000 0.2500
Co 0.5000 0.0000 0.7500
Co 0.5000 0.5000 0.5000
Ge 0.2346 0.2500 0.1250
Ge 0.2500 0.7346 0.3750
Ge 0.2500 0.7654 0.8750
Ge 0.2654 0.2500 0.6250
Ge 0.7346 0.7500 0.6250
Ge 0.7500 0.2346 0.8750
Ge 0.7500 0.2654 0.3750
Ge 0.7654 0.7500 0.1250
Os 0.0000 0.0000 0.5000
Os 0.0000 0.5000 0.7500
Os 0.5000 0.0000 0.2500
Os 0.5000 0.5000 0.0000

The space group is I-42d, No. 122. The value obtained for the magnetic moment is 0.000 μB per formula unit.

***

#3
The following is a DFT calculation (PBE) of a relaxed structure of CoGe2Os.

abc: 4.6668 4.6291 5.7021
angles: 90.00 114.33 90.00
Fractional positions:
Co 0.0000 0.1117 0.0000
Co 0.0000 0.8883 0.5000
Ge 0.4905 0.0869 0.4535
Ge 0.4905 0.9131 0.9535
Ge 0.9024 0.3930 0.3254
Ge 0.9024 0.6070 0.8254
Os 0.3764 0.3992 0.7638
Os 0.3764 0.6008 0.2638

The space group is Pc, No. 7. The value obtained for the magnetic moment is 0.859 μB per formula unit.

***

The structure with the greatest stability is #3.

***

#1
The following is a DFT calculation (PBE) of a relaxed structure of CoGe2Os.

abc: 6.0242 6.0242 6.0242
angles: 90.00 90.00 90.00
Fractional positions:
Co 0.0000 0.0000 0.0000
Co 0.0000 0.5000 0.5000
Co 0.5000 0.0000 0.5000
Co 0.5000 0.5000 0.0000
Ge 0.2500 0.2500 0.2500
Ge 0.2500 0.2500 0.7500
Ge 0.2500 0.7500 0.2500
Ge 0.2500 0.7500 0.7500
Ge 0.7500 0.2500 0.2500
Ge 0.7500 0.2500 0.7500
Ge 0.7500 0.7500 0.2500
Ge 0.7500 0.7500 0.7500
Os 0.0000 0.0000 0.5000
Os 0.0000 0.5000 0.0000
Os 0.5000 0.0000 0.0000
Os 0.5000 0.5000 0.5000

The space group is Fm-3m, No. 225. The value obtained for the magnetic moment is 0.856 μB per formula unit.

***

#2
The following is a DFT calculation (PBE) of a relaxed structure of CoGe2Os.

abc: 4.6122 4.6418 5.3263
angles: 91.03 90.95 103.01
Fractional positions:
Co 0.0000 0.0000 0.0000
Co 0.4781 0.8965 0.6814
Ge 0.3821 0.3937 0.8463
Ge 0.4876 0.9102 0.1621
Ge 0.9034 0.4957 0.1644
Ge 0.9780 0.9937 0.5239
Os 0.3787 0.3830 0.3459
Os 0.8885 0.4941 0.6819

The space group is P1, No. 1. The value obtained for the magnetic moment is 0.000 μB per formula unit.

***

#3
The following is a DFT calculation (PBE) of a relaxed structure of CoGe2Os.

abc: 8.8104 3.0153 4.2910
angles: 90.00 105.36 90.00
Fractional positions:
Co 0.0000 0.0000 0.0000
Co 0.5000 0.5000 0.0000
Ge 0.2375 0.5000 0.0999
Ge 0.4951 0.0000 0.4826
Ge 0.7375 0.0000 0.0999
Ge 0.9951 0.5000 0.4826
Os 0.2338 0.0000 0.5998
Os 0.7338 0.5000 0.5998

The space group is Cm, No. 8. The value obtained for the magnetic moment is 0.475 μB per formula unit.

***

The structure with the greatest stability is #2.

***

#1
The following is a DFT calculation (PBE) of a relaxed structure of CoGe2Os.

abc: 4.6398 5.2577 5.2620
angles: 68.04 88.79 68.27
Fractional positions:
Co 0.2311 0.3008 0.4096
Co 0.7689 0.6992 0.5904
Ge 0.2406 0.2891 0.8888
Ge 0.2476 0.7870 0.4161
Ge 0.7524 0.2130 0.5839
Ge 0.7594 0.7109 0.1112
Os 0.2331 0.7853 0.9074
Os 0.7669 0.2147 0.0926

The space group is P-1, No. 2. The value obtained for the magnetic moment is 0.000 μB per formula unit.

***

#2
The following is a DFT calculation (PBE) of a relaxed structure of CoGe2Os.

abc: 4.6132 4.6965 5.6659
angles: 65.75 89.27 89.74
Fractional positions:
Co 0.1497 0.2081 0.1078
Co 0.8503 0.7919 0.8922
Ge 0.1440 0.6996 0.5743
Ge 0.3374 0.7131 0.0567
Ge 0.6626 0.2869 0.9433
Ge 0.8560 0.3004 0.4257
Os 0.3580 0.1804 0.6246
Os 0.6420 0.8196 0.3754

The space group is P-1, No. 2. The value obtained for the magnetic moment is 0.283 μB per formula unit.

***

The structure with the greatest stability is #2.

***

#1
The following is a DFT calculation (PBE) of a relaxed structure of Co3Ge6Os.

abc: 6.2486 6.0939 8.9700
angles: 90.00 117.78 90.00
Fractional positions:
Co 0.0000 0.0000 0.0000
Co 0.0000 0.5000 0.5000
Co 0.2921 0.1537 0.7566
Co 0.2921 0.3463 0.2566
Co 0.7079 0.6537 0.7434
Co 0.7079 0.8463 0.2434
Ge 0.0727 0.0125 0.2780
Ge 0.0727 0.4875 0.7780
Ge 0.2460 0.6890 0.1039
Ge 0.2460 0.8110 0.6039
Ge 0.3932 0.1294 0.0658
Ge 0.3932 0.3706 0.5658
Ge 0.6068 0.6294 0.4342
Ge 0.6068 0.8706 0.9342
Ge 0.7540 0.1890 0.3961
Ge 0.7540 0.3110 0.8961
Ge 0.9273 0.5125 0.2220
Ge 0.9273 0.9875 0.7220
Os 0.5000 0.0000 0.5000
Os 0.5000 0.5000 0.0000

The space group is P2_1/c, No. 14. The value obtained for the magnetic moment is 0.001 μB per formula unit.

***

#2
The following is a DFT calculation (PBE) of a relaxed structure of Co3Ge6Os.

abc: 9.8845 3.4278 10.1559
angles: 90.00 117.89 90.00
Fractional positions:
Co 0.0387 0.2500 0.4134
Co 0.1223 0.7500 0.0746
Co 0.4603 0.7500 0.7076
Co 0.5397 0.2500 0.2924
Co 0.8777 0.2500 0.9254
Co 0.9613 0.7500 0.5866
Ge 0.0351 0.2500 0.1843
Ge 0.1498 0.2500 0.6690
Ge 0.2282 0.7500 0.4721
Ge 0.2803 0.2500 0.0729
Ge 0.3817 0.7500 0.3173
Ge 0.4699 0.2500 0.8764
Ge 0.5301 0.7500 0.1236
Ge 0.6183 0.2500 0.6827
Ge 0.7197 0.7500 0.9271
Ge 0.7718 0.2500 0.5279
Ge 0.8502 0.7500 0.3310
Ge 0.9649 0.7500 0.8157
Os 0.2716 0.7500 0.8734
Os 0.7284 0.2500 0.1266

The space group is P2_1/m, No. 11. The value obtained for the magnetic moment is 0.258 μB per formula unit.

***

The structure with the greatest stability is #2.

***

#1
The following is a DFT calculation (PBE) of a relaxed structure of Co2Ge2Os.

abc: 6.8637 6.8637 2.7045
angles: 90.00 90.00 90.00
Fractional positions:
Co 0.1451 0.3549 0.0000
Co 0.3549 0.8549 0.0000
Co 0.6451 0.1451 0.0000
Co 0.8549 0.6451 0.0000
Ge 0.1518 0.6518 0.5000
Ge 0.3482 0.1518 0.5000
Ge 0.6518 0.8482 0.5000
Ge 0.8482 0.3482 0.5000
Os 0.0000 0.0000 0.5000
Os 0.5000 0.5000 0.5000

The space group is P4/mbm, No. 127. The value obtained for the magnetic moment is 0.000 μB per formula unit.

***

#2
The following is a DFT calculation (PBE) of a relaxed structure of Co2Ge2Os.

abc: 3.5570 3.5570 10.7327
angles: 90.00 90.00 90.00
Fractional positions:
Co 0.0000 0.0000 0.1042
Co 0.0000 0.0000 0.8958
Co 0.5000 0.5000 0.3958
Co 0.5000 0.5000 0.6042
Ge 0.0000 0.5000 0.2500
Ge 0.0000 0.5000 0.7500
Ge 0.5000 0.0000 0.2500
Ge 0.5000 0.0000 0.7500
Os 0.0000 0.0000 0.5000
Os 0.5000 0.5000 0.0000

The space group is I4/mmm, No. 139. The value obtained for the magnetic moment is 0.005 μB per formula unit.

***

The structure with the greatest stability is #1.